Entry from Alexandria: a PBEsol-optimized structure of SrTl2Hg2 (SCAN).

abc: 8.371 8.371 4.025
angles: 90.00 90.00 90.00
Atoms (fractional coordinates):
1 Sr 0.000 0.000 0.000
2 Sr 0.500 0.500 0.000
3 Tl 0.170 0.330 0.500
4 Tl 0.330 0.830 0.500
5 Tl 0.670 0.170 0.500
6 Tl 0.830 0.670 0.500
7 Hg 0.128 0.628 0.000
8 Hg 0.372 0.128 0.000
9 Hg 0.628 0.872 0.000
10 Hg 0.872 0.372 0.000

Distance to the lowest polymorph of the same formula ... 100 meV/atom
Formation energy ... -133 kJ/mol of formula units